## PmNiSn3 (PBE)

Data for an optimized crystal structure of PmNiSn3.

Cell lengths 4.4602, 4.5151, 12.1754 Å; angles 100.69, 90.00, 90.00 degrees
Atoms (fractional coordinates):
Sn (0.0000, 0.7139, 0.4279)
Ni (0.0000, 0.3888, 0.7776)
Ni (0.0000, 0.6112, 0.2224)
Sn (0.5000, 0.5604, 0.1208)
Pm (0.5000, 0.8308, 0.6616)
Sn (0.0000, 0.2861, 0.5721)
Sn (0.0000, 0.9394, 0.8789)
Sn (0.0000, 0.0606, 0.1211)
Pm (0.5000, 0.1692, 0.3384)
Sn (0.5000, 0.4396, 0.8792)

Values from the calculation:
total magnetization = 0.000 μB/f.u.
E = -50.1 eV for the cell shown
SG = Cmmm (65)
ρ = 7.7 g/cm3
DFT formation energy = -241 kJ/mol of formula units